1.
CePuB4 | Alexandria | PBE-GGA | relaxed; offset from the most stable computed form = 431 meV/atom; V = 12.36 Å³/atom; size of the total moment = 5.0 μB per cell; energy = -7.707 eV per atom; energy relative to the elements = 0.122 eV per atom; crystal system = cubic; space group = No. 216
1.0
0.000 3.335 3.335
3.335 0.000 3.335
3.335 3.335 0.000
Ce Pu B
1 1 4
direct
0.000 0.000 0.000
0.250 0.250 0.250
0.222 0.593 0.593
0.593 0.222 0.593
0.593 0.593 0.222
0.593 0.593 0.593


2.
CePuB12 | Alexandria | PBE-GGA | relaxed; V = 9.93 Å³/atom; size of the total moment = 6.0 μB per cell; energy = -7.618 eV per atom; energy relative to the elements = -0.447 eV per atom; crystal system = tetragonal; space group = No. 123
1.0
4.111 0.000 0.000
0.000 4.111 0.000
0.000 0.000 8.223
Ce Pu B
1 1 12
direct
0.000 0.000 0.000
0.000 0.000 0.500
0.199 0.500 0.250
0.199 0.500 0.750
0.500 0.199 0.250
0.500 0.199 0.750
0.500 0.500 0.100
0.500 0.500 0.401
0.500 0.500 0.599
0.500 0.500 0.900
0.500 0.801 0.250
0.500 0.801 0.750
0.801 0.500 0.250
0.801 0.500 0.750


3.
CePuB4 | Alexandria | PBE-GGA | relaxed; offset from the most stable computed form = 0 meV/atom; V = 12.20 Å³/atom; size of the total moment = 19.5 μB per cell; energy = -8.139 eV per atom; energy relative to the elements = -0.310 eV per atom; crystal system = orthorhombic; space group = No. 55
1.0
6.082 0.000 0.000
0.000 11.700 0.000
0.000 0.000 4.114
Ce Pu B
4 4 16
direct
0.121 0.155 0.000
0.379 0.655 0.000
0.621 0.345 0.000
0.879 0.845 0.000
0.132 0.414 0.000
0.368 0.914 0.000
0.632 0.086 0.000
0.868 0.586 0.000
0.031 0.695 0.500
0.123 0.551 0.500
0.130 0.971 0.500
0.208 0.813 0.500
0.292 0.313 0.500
0.370 0.471 0.500
0.377 0.051 0.500
0.469 0.195 0.500
0.531 0.805 0.500
0.623 0.949 0.500
0.630 0.529 0.500
0.708 0.687 0.500
0.792 0.187 0.500
0.870 0.029 0.500
0.877 0.449 0.500
0.969 0.305 0.500


4.
CePu2B6 | Alexandria | PBE-GGA | relaxed; V = 12.32 Å³/atom; size of the total moment = 3.3 μB per cell; energy = -8.459 eV per atom; energy relative to the elements = -0.163 eV per atom; crystal system = orthorhombic; space group = No. 71
1.0
-1.626 3.990 4.271
1.626 -3.990 4.271
1.626 3.990 -4.271
Ce Pu B
1 2 6
direct
0.000 0.000 0.000
0.367 0.867 0.500
0.633 0.133 0.500
0.054 0.305 0.750
0.296 0.500 0.796
0.445 0.695 0.750
0.555 0.305 0.250
0.704 0.500 0.204
0.946 0.695 0.250


5.
Rb2CeB2S6 | Alexandria | PBE-GGA | relaxed; V = 26.85 Å³/atom; size of the total moment = 0.1 μB per cell; energy = -5.213 eV per atom; crystal system = monoclinic; space group = No. 12
1.0
5.896 -3.394 0.000
5.896 3.394 0.000
-4.014 0.000 7.379
Rb Ce B S
2 1 2 6
direct
0.205 0.205 0.182
0.795 0.795 0.818
0.000 0.000 0.500
0.430 0.430 0.712
0.570 0.570 0.288
0.250 0.709 0.242
0.259 0.259 0.643
0.291 0.750 0.758
0.709 0.250 0.242
0.741 0.741 0.357
0.750 0.291 0.758


6.
CeRe4B4 | Alexandria | PBE-GGA | relaxed; V = 13.16 Å³/atom; size of the total moment = 1.0 μB per cell; energy = -9.503 eV per atom; energy relative to the elements = -0.344 eV per atom; crystal system = tetragonal; space group = No. 86
1.0
7.457 0.000 0.000
0.000 7.457 0.000
0.000 0.000 4.258
Ce Re B
2 8 8
direct
0.250 0.250 0.250
0.750 0.750 0.750
0.118 0.624 0.119
0.124 0.882 0.619
0.376 0.618 0.619
0.382 0.876 0.119
0.618 0.124 0.881
0.624 0.382 0.381
0.876 0.118 0.381
0.882 0.376 0.881
0.059 0.922 0.120
0.078 0.559 0.620
0.422 0.941 0.620
0.441 0.578 0.120
0.559 0.422 0.880
0.578 0.059 0.380
0.922 0.441 0.380
0.941 0.078 0.880


7.
CeReB2 | Alexandria | PBE-GGA | relaxed; offset from the most stable computed form = 0 meV/atom; V = 13.14 Å³/atom; size of the total moment = 0.0 μB per cell; energy = -8.396 eV per atom; energy relative to the elements = -0.462 eV per atom; crystal system = orthorhombic; space group = No. 62
1.0
5.948 0.000 0.000
0.000 5.405 0.000
0.000 0.000 6.539
Ce Re B
4 4 8
direct
0.004 0.250 0.157
0.496 0.750 0.657
0.504 0.250 0.343
0.996 0.750 0.843
0.183 0.250 0.688
0.317 0.750 0.188
0.683 0.250 0.812
0.817 0.750 0.312
0.128 0.582 0.463
0.128 0.918 0.463
0.372 0.082 0.963
0.372 0.418 0.963
0.628 0.582 0.037
0.628 0.918 0.037
0.872 0.082 0.537
0.872 0.418 0.537


8.
CeRe2B6 | Alexandria | PBE-GGA | relaxed; V = 10.26 Å³/atom; size of the total moment = 0.0 μB per cell; energy = -8.335 eV per atom; energy relative to the elements = -0.458 eV per atom; crystal system = orthorhombic; space group = No. 71
1.0
-1.575 3.390 4.325
1.575 -3.390 4.325
1.575 3.390 -4.325
Ce Re B
1 2 6
direct
0.000 0.000 0.000
0.340 0.840 0.500
0.660 0.160 0.500
0.065 0.309 0.756
0.341 0.500 0.841
0.447 0.691 0.756
0.553 0.309 0.244
0.659 0.500 0.159
0.935 0.691 0.244


9.
CeReB2 | Alexandria | PBE-GGA | relaxed; offset from the most stable computed form = 404 meV/atom; V = 13.80 Å³/atom; size of the total moment = 0.0 μB per cell; energy = -7.993 eV per atom; energy relative to the elements = -0.058 eV per atom; crystal system = trigonal; space group = No. 166
1.0
1.630 0.941 5.992
-1.630 0.941 5.992
0.000 -1.883 5.992
Ce Re B
1 1 2
direct
0.000 0.000 0.000
0.500 0.500 0.500
0.233 0.233 0.233
0.767 0.767 0.767


10.
Ce3ReB7 | Alexandria | PBE-GGA | relaxed; V = 12.40 Å³/atom; size of the total moment = 1.9 μB per cell; energy = -7.478 eV per atom; energy relative to the elements = -0.479 eV per atom; crystal system = orthorhombic; space group = No. 63
1.0
1.799 -8.044 0.000
1.799 8.044 0.000
0.000 0.000 9.423
Ce Re B
6 2 14
direct
0.106 0.894 0.564
0.106 0.894 0.936
0.248 0.752 0.250
0.752 0.248 0.750
0.894 0.106 0.064
0.894 0.106 0.436
0.056 0.944 0.250
0.944 0.056 0.750
0.275 0.725 0.532
0.275 0.725 0.968
0.366 0.634 0.652
0.366 0.634 0.848
0.464 0.536 0.250
0.477 0.523 0.595
0.477 0.523 0.905
0.523 0.477 0.095
0.523 0.477 0.405
0.536 0.464 0.750
0.634 0.366 0.152
0.634 0.366 0.348
0.725 0.275 0.032
0.725 0.275 0.468


11.
Ce2Re3B6 | Alexandria | PBE-GGA | relaxed; V = 12.30 Å³/atom; size of the total moment = 0.0 μB per cell; energy = -8.638 eV per atom; energy relative to the elements = -0.522 eV per atom; crystal system = monoclinic; space group = No. 15
1.0
3.401 -5.292 0.000
3.401 5.292 0.000
-0.142 0.000 7.517
Ce Re B
4 6 12
direct
0.053 0.403 0.169
0.403 0.053 0.669
0.597 0.947 0.331
0.947 0.597 0.831
0.090 0.910 0.250
0.307 0.490 0.587
0.490 0.307 0.087
0.510 0.693 0.913
0.693 0.510 0.413
0.910 0.090 0.750
0.055 0.150 0.464
0.085 0.659 0.482
0.150 0.055 0.964
0.253 0.344 0.865
0.341 0.915 0.018
0.344 0.253 0.365
0.656 0.747 0.635
0.659 0.085 0.982
0.747 0.656 0.135
0.850 0.945 0.036
0.915 0.341 0.518
0.945 0.850 0.536


12.
Ce3Re3B8 | Alexandria | PBE-GGA | relaxed; V = 13.12 Å³/atom; size of the total moment = 0.0 μB per cell; energy = -7.894 eV per atom; energy relative to the elements = -0.139 eV per atom; crystal system = orthorhombic; space group = No. 71
1.0
-1.547 4.852 6.116
1.547 -4.852 6.116
1.547 4.852 -6.116
Ce Re B
3 3 8
direct
0.000 0.000 0.000
0.282 0.282 0.000
0.718 0.718 0.000
0.282 0.500 0.782
0.500 0.000 0.500
0.718 0.500 0.218
0.017 0.345 0.672
0.101 0.867 0.233
0.327 0.655 0.672
0.366 0.133 0.233
0.634 0.867 0.767
0.673 0.345 0.328
0.899 0.133 0.767
0.983 0.655 0.328